[1]
A plane-wave DFT calculation with GGA-PBE was carried out for GaRh2Pb after structural relaxation.

Output
Energy = -22.14 eV for the cell shown
Mass density = 11.98 g/cm³
DOS(E_F) = 0.882 states/eV/atom
Energy of formation from the pure elements = -0.175 eV per atom

abc: 4.5570 4.5570 4.5570
angles: 60.00 60.00 60.00
Atoms (fractional coordinates):
Ga 0.0000 0.0000 0.0000
Rh 0.2500 0.2500 0.2500
Rh 0.7500 0.7500 0.7500
Pb 0.5000 0.5000 0.5000

[2]
A plane-wave DFT calculation with GGA-PBE was carried out for GaRh2Pb2 after structural relaxation.

Output
Energy = -50.99 eV for the cell shown
Mass density = 11.41 g/cm³
DOS(E_F) = 0.594 states/eV/atom
Energy of formation from the pure elements = -0.069 eV per atom

abc: 6.7779 6.7779 4.3708
angles: 90.00 90.00 90.00
Atoms (fractional coordinates):
Ga 0.0000 0.0000 0.0000
Ga 0.5000 0.5000 0.0000
Rh 0.1516 0.3484 0.0000
Rh 0.3484 0.8484 0.0000
Rh 0.6516 0.1516 0.0000
Rh 0.8484 0.6516 0.0000
Pb 0.1626 0.6626 0.5000
Pb 0.3374 0.1626 0.5000
Pb 0.6626 0.8374 0.5000
Pb 0.8374 0.3374 0.5000

[3]
A plane-wave DFT calculation with GGA-PBE was carried out for GaRh2Pb after structural relaxation.

Output
Energy = -22.49 eV for the cell shown
Mass density = 11.98 g/cm³
DOS(E_F) = 0.718 states/eV/atom
Energy of formation from the pure elements = -0.264 eV per atom

abc: 3.1024 3.1024 6.9536
angles: 90.00 90.00 90.00
Atoms (fractional coordinates):
Ga 0.0000 0.0000 0.0000
Rh 0.5000 0.5000 0.2115
Rh 0.5000 0.5000 0.7885
Pb 0.0000 0.0000 0.5000